Density functional theory data (PBE-GGA) for a relaxed structure of LiP5.

Summary:
DOS at the Fermi energy (states/eV per cell): 3.63
Electronic total energy (eV per atom): -4.690
Energy of formation from the pure elements (meV/atom): 138

a b c (Å): 10.381 2.552 7.726
angles (deg): 90.00 103.83 90.00
Space group Cm (No. 8)
One atom of each set of equivalent atoms:
Li 0.000 0.000 0.000 [2 per cell]
P 0.048 0.500 0.315 [2 per cell]
P 0.167 0.000 0.687 [2 per cell]
P 0.221 0.500 0.963 [2 per cell]
P 0.349 0.000 0.357 [2 per cell]
P 0.375 0.000 0.657 [2 per cell]

Density functional theory data (PBE-GGA) for a relaxed structure of Li2P.

Summary:
DOS at the Fermi energy (states/eV per cell): 0.61
Electronic total energy (eV per atom): -3.279
Energy of formation from the pure elements (meV/atom): -200

a b c (Å): 2.8920 2.8920 6.5583
angles (deg): 90.00 90.00 120.00
Space group P-3m1 (No. 164)
One atom of each set of equivalent atoms:
Li 0.3333 0.6667 0.2911 [2 per cell]
P 0.0000 0.0000 0.0000 [1 per cell]

Density functional theory data (PBE-GGA) for a relaxed structure of LiP.

Summary:
DOS at the Fermi energy (states/eV per cell): 7.65
Electronic total energy (eV per atom): -3.897
Energy of formation from the pure elements (meV/atom): -235

a b c (Å): 7.666 7.839 10.108
angles (deg): 90.00 90.00 90.00
Space group Fddd (No. 70, origin choice 2)
One atom of each set of equivalent atoms:
Li 0.079 0.375 0.375 [16 per cell]
P 0.125 0.125 0.519 [16 per cell]

Density functional theory data (PBE-GGA) for a relaxed structure of LiP5.

Summary:
DOS at the Fermi energy (states/eV per cell): 2.05
Electronic total energy (eV per atom): -4.576
Energy of formation from the pure elements (meV/atom): 251

a b c (Å): 3.916 3.185 16.602
angles (deg): 90.00 90.00 90.00
Space group Amm2 (No. 38)
One atom of each set of equivalent atoms:
Li 0.000 0.000 0.000 [2 per cell]
P 0.000 0.000 0.361 [2 per cell]
P 0.000 0.000 0.648 [2 per cell]
P 0.500 0.000 0.283 [2 per cell]
P 0.500 0.000 0.571 [2 per cell]
P 0.500 0.000 0.880 [2 per cell]

Density functional theory data (PBE-GGA) for a relaxed structure of LiP.

Summary:
Electronic total energy (eV per atom): -4.026
Energy of formation from the pure elements (meV/atom): -364

a b c (Å): 11.689 11.689 3.286
angles (deg): 90.00 90.00 90.00
Space group P4/m (No. 83)
One atom of each set of equivalent atoms:
Li 0.048 0.608 0.000 [4 per cell]
Li 0.325 0.377 0.500 [4 per cell]
P 0.163 0.426 0.000 [4 per cell]
P 0.205 0.550 0.500 [4 per cell]

Density functional theory data (PBE-GGA) for a relaxed structure of LiP.

Summary:
Electronic total energy (eV per atom): -3.897
Energy of formation from the pure elements (meV/atom): -235

a b c (Å): 9.4700 9.4700 4.0184
angles (deg): 90.00 90.00 120.00
Space group P6_3/m (No. 176)
One atom of each set of equivalent atoms:
Li 0.1711 0.4237 0.2500 [6 per cell]
P 0.0033 0.5562 0.2500 [6 per cell]

Density functional theory data (PBE-GGA) for a relaxed structure of Li5P.

Summary:
DOS at the Fermi energy (states/eV per cell): 4.22
Electronic total energy (eV per atom): -2.749
Energy of formation from the pure elements (meV/atom): -253

a b c (Å): 11.216 2.832 6.710
angles (deg): 90.00 110.34 90.00
Space group Cm (No. 8)
One atom of each set of equivalent atoms:
Li 0.000 0.000 0.000 [2 per cell]
Li 0.011 0.000 0.608 [2 per cell]
Li 0.162 0.500 0.330 [2 per cell]
Li 0.272 0.000 0.731 [2 per cell]
Li 0.345 0.000 0.206 [2 per cell]
P 0.168 0.500 0.940 [2 per cell]

Density functional theory data (PBE-GGA) for a relaxed structure of Li2P.

Summary:
DOS at the Fermi energy (states/eV per cell): 3.12
Electronic total energy (eV per atom): -3.572
Energy of formation from the pure elements (meV/atom): -493

a b c (Å): 4.098 8.200 5.247
angles (deg): 90.00 90.00 90.00
Space group Cmcm (No. 63)
One atom of each set of equivalent atoms:
Li 0.000 0.000 0.000 [4 per cell]
Li 0.000 0.283 0.250 [4 per cell]
P 0.000 0.415 0.750 [4 per cell]

Density functional theory data (PBE-GGA) for a relaxed structure of LiP.

Summary:
Electronic total energy (eV per atom): -4.178
Energy of formation from the pure elements (meV/atom): -516

a b c (Å): 4.926 5.638 9.271
angles (deg): 90.00 90.00 90.00
Space group P2_12_12_1 (No. 19)
One atom of each set of equivalent atoms:
Li 0.131 0.105 0.066 [4 per cell]
Li 0.156 0.218 0.754 [4 per cell]
P 0.119 0.163 0.366 [4 per cell]
P 0.137 0.537 0.952 [4 per cell]

Density functional theory data (PBE-GGA) for a relaxed structure of Li2P.

Summary:
DOS at the Fermi energy (states/eV per cell): 0.65
Electronic total energy (eV per atom): -3.630
Energy of formation from the pure elements (meV/atom): -551

a b c (Å): 2.795 3.878 7.519
angles (deg): 90.00 90.00 90.00
Space group Immm (No. 71)
One atom of each set of equivalent atoms:
Li 0.000 0.000 0.159 [4 per cell]
P 0.000 0.000 0.500 [2 per cell]

Density functional theory data (PBE-GGA) for a relaxed structure of LiP.

Summary:
DOS at the Fermi energy (states/eV per cell): 5.22
Electronic total energy (eV per atom): -3.425
Energy of formation from the pure elements (meV/atom): 237

a b c (Å): 4.997 4.997 4.997
angles (deg): 90.00 90.00 90.00
Space group Fm-3m (No. 225)
One atom of each set of equivalent atoms:
Li 0.000 0.000 0.000 [4 per cell]
P 0.000 0.000 0.500 [4 per cell]

Density functional theory data (PBE-GGA) for a relaxed structure of Li3P4.

Summary:
DOS at the Fermi energy (states/eV per cell): 0.46
Electronic total energy (eV per atom): -3.900
Energy of formation from the pure elements (meV/atom): 11

a b c (Å): 5.0819 5.0819 4.6642
angles (deg): 90.00 90.00 120.00
Space group P6/mmm (No. 191)
One atom of each set of equivalent atoms:
Li 0.0000 0.5000 0.0000 [3 per cell]
P 0.0000 0.0000 0.2181 [2 per cell]
P 0.3333 0.6667 0.5000 [2 per cell]

Density functional theory data (PBE-GGA) for a relaxed structure of Li2P.

Summary:
DOS at the Fermi energy (states/eV per cell): 2.15
Electronic total energy (eV per atom): -3.607
Energy of formation from the pure elements (meV/atom): -528

a b c (Å): 8.314 2.788 7.203
angles (deg): 90.00 94.72 90.00
Space group C2/m (No. 12)
One atom of each set of equivalent atoms:
Li 0.121 0.000 0.424 [4 per cell]
Li 0.144 0.500 0.099 [4 per cell]
P 0.123 0.500 0.743 [4 per cell]

Density functional theory data (PBE-GGA) for a relaxed structure of Li5P.

Summary:
DOS at the Fermi energy (states/eV per cell): 3.58
Electronic total energy (eV per atom): -2.676
Energy of formation from the pure elements (meV/atom): -180

a b c (Å): 3.305 3.305 9.471
angles (deg): 90.00 90.00 90.00
Space group P4/mmm (No. 123)
One atom of each set of equivalent atoms:
Li 0.000 0.000 0.000 [1 per cell]
Li 0.000 0.000 0.374 [2 per cell]
Li 0.500 0.500 0.211 [2 per cell]
P 0.500 0.500 0.500 [1 per cell]

Density functional theory data (PBE-GGA) for a relaxed structure of LiP.

Summary:
DOS at the Fermi energy (states/eV per cell): 0.41
Electronic total energy (eV per atom): -4.032
Energy of formation from the pure elements (meV/atom): -370

a b c (Å): 2.631 2.631 3.932
angles (deg): 90.00 90.00 90.00
Space group P4/mmm (No. 123)
One atom of each set of equivalent atoms:
Li 0.000 0.000 0.000 [1 per cell]
P 0.500 0.500 0.500 [1 per cell]

Density functional theory data (PBE-GGA) for a relaxed structure of LiP.

Summary:
DOS at the Fermi energy (states/eV per cell): 1.43
Electronic total energy (eV per atom): -4.130
Energy of formation from the pure elements (meV/atom): -469

a b c (Å): 8.914 3.291 5.008
angles (deg): 90.00 110.40 90.00
Space group C2/m (No. 12)
One atom of each set of equivalent atoms:
Li 0.117 0.000 0.294 [4 per cell]
P 0.188 0.000 0.850 [4 per cell]

Density functional theory data (PBE-GGA) for a relaxed structure of LiP.

Summary:
DOS at the Fermi energy (states/eV per cell): 3.28
Electronic total energy (eV per atom): -4.007
Energy of formation from the pure elements (meV/atom): -345

a b c (Å): 9.854 2.571 8.115
angles (deg): 90.00 119.90 90.00
Space group Cm (No. 8)
One atom of each set of equivalent atoms:
Li 0.000 0.000 0.000 [2 per cell]
Li 0.152 0.000 0.675 [2 per cell]
Li 0.318 0.500 0.376 [2 per cell]
P 0.036 0.500 0.317 [2 per cell]
P 0.298 0.000 0.075 [2 per cell]
P 0.424 0.000 0.691 [2 per cell]

Density functional theory data (PBE-GGA) for a relaxed structure of Li3P2.

Summary:
DOS at the Fermi energy (states/eV per cell): 2.25
Electronic total energy (eV per atom): -3.526
Energy of formation from the pure elements (meV/atom): -214

a b c (Å): 4.4476 4.4476 4.8793
angles (deg): 90.00 90.00 120.00
Space group P-3m1 (No. 164)
One atom of each set of equivalent atoms:
Li 0.0000 0.0000 0.0000 [1 per cell]
Li 0.3333 0.6667 0.3826 [2 per cell]
P 0.3333 0.6667 0.8996 [2 per cell]

Density functional theory data (PBE-GGA) for a relaxed structure of LiP.

Summary:
DOS at the Fermi energy (states/eV per cell): 0.22
Electronic total energy (eV per atom): -4.089
Energy of formation from the pure elements (meV/atom): -428

a b c (Å): 3.268 4.617 5.433
angles (deg): 68.89 89.08 69.99
Space group P1 (No. 1)
One atom of each set of equivalent atoms:
Li 0.000 0.000 0.000 [1 per cell]
Li 0.338 0.366 0.551 [1 per cell]
P 0.295 0.422 0.060 [1 per cell]
P 0.681 0.674 0.769 [1 per cell]

Density functional theory data (PBE-GGA) for a relaxed structure of LiP5.

Summary:
DOS at the Fermi energy (states/eV per cell): 2.61
Electronic total energy (eV per atom): -4.573
Energy of formation from the pure elements (meV/atom): 254

a b c (Å): 2.345 2.345 18.690
angles (deg): 90.00 90.00 90.00
Space group P4/mmm (No. 123)
One atom of each set of equivalent atoms:
Li 0.000 0.000 0.000 [1 per cell]
P 0.000 0.000 0.308 [2 per cell]
P 0.500 0.500 0.110 [2 per cell]
P 0.500 0.500 0.500 [1 per cell]